No. 1
Entry from Alexandria: an optimized crystal structure of K2InPSe (GGA-PBE).

Calculated values
Space group   P4/mmm
Fermi-level density of states   3.8 states/eV/cell
E_form (uncorrected)   -191.3 meV/atom

abc: 6.2103 4.8505 6.2103
angles: 90.00 90.00 90.00
With the nearest neighbours (Å) after each atom.
Fractional coordinates of all 5 atoms:
K 0.5000 0.0000 0.0000  2 P 3.11
K 0.0000 0.0000 0.5000  2 P 3.11
In 0.0000 0.5000 0.0000  2 P 2.43
P 0.0000 0.0000 0.0000  2 In 2.43
Se 0.5000 0.5000 0.5000  8 K 3.94, 4 In 4.39

No. 2
Entry from Alexandria: an optimized crystal structure of Ca2SiCl (GGA-PBE).

Calculated values
Space group   F-43m
Fermi-level density of states   5.1 states/eV/cell
E_form (uncorrected)   -112.7 meV/atom

abc: 5.2399 5.2399 5.2399
angles: 60.00 60.00 60.00
With the nearest neighbours (Å) after each atom.
Fractional coordinates of all 4 atoms:
Ca 0.0000 0.0000 0.0000  4 Si 3.21, 4 Ca 3.21
Ca 0.2500 0.2500 0.2500  4 Cl 3.21, 4 Ca 3.21
Cl 0.5000 0.5000 0.5000  4 Ca 3.21, 4 Si 3.21
Si 0.7500 0.7500 0.7500  4 Cl 3.21, 4 Ca 3.21

No. 3
Entry from Alexandria: an optimized crystal structure of Nd3ErGe2C (GGA-PBE).

Calculated values
ΔH_f (0 K)   -567.5 meV per atom
Space group   Immm
Fermi-level density of states   1.3 states/eV/cell

abc: 4.7210 4.8783 8.5962
angles: 106.48 105.94 90.00
With the nearest neighbours (Å) after each atom.
Fractional coordinates of all 7 atoms:
Ge 0.3651 0.3651 0.7303  7 Nd 3.10-3.44, 2 Er 3.24
Ge 0.6349 0.6349 0.2697  7 Nd 3.10-3.44, 2 Er 3.24
Nd 0.1688 0.1688 0.3377  1 C 2.67
Nd 0.0000 0.5000 0.0000  2 C 2.44
Nd 0.8312 0.8312 0.6623  1 C 2.67
C 0.0000 0.0000 0.0000  2 Er 2.36, 2 Nd 2.44
Er 0.5000 0.0000 0.0000  2 C 2.36

No. 4
Entry from Alexandria: an optimized crystal structure of Si2Sb3 (GGA-PBE).

Calculated values
Space group   R-3m
Fermi-level density of states   2.1 states/eV/cell
E_form (uncorrected)   237.7 meV/atom

abc: 8.7376 8.7376 8.7376
angles: 26.82 26.82 26.82
With the nearest neighbours (Å) after each atom.
Fractional coordinates of all 5 atoms:
Sb 0.7903 0.7903 0.7903  3 Si 2.76
Sb 0.2097 0.2097 0.2097  3 Si 2.76
Sb 0.0000 0.0000 0.0000  6 Si 2.86
Si 0.6013 0.6013 0.6013  6 Sb 2.76-2.86
Si 0.3987 0.3987 0.3987  6 Sb 2.76-2.86

Total magnetic moment (computed, Bohr magnetons per cell): 0.454 0.000 0.000 0.000
Total energy (computed, eV per cell): -14.8 -11.7 -41.3 -22.0